(1)
First-principles (PBE) data for a relaxed EuPuAgPt crystal, as listed in the Alexandria database.

The structure belongs to space group F-43m (No. 216); the cell edges are 7.258, 7.258 and 7.258 Å and the angles 90.00°, 90.00° and 90.00°. Symmetry generates all atoms from Eu at (0.000, 0.000, 0.000), Pu at (0.000, 0.000, 0.500), Ag at (0.250, 0.250, 0.250) and Pt at (0.250, 0.250, 0.750).

The density of states at the Fermi level is 4.03 states/eV per atom. As for the size of the total moment: 51.836 μB/cell. For the calculated formation energy, the calculation gives -424 meV per atom.

=====

(2)
First-principles (PBE) data for a relaxed SmEuAgPt crystal, as listed in the Alexandria database.

The structure belongs to space group F-43m (No. 216); the cell edges are 7.288, 7.288 and 7.288 Å and the angles 90.00°, 90.00° and 90.00°. Symmetry generates all atoms from Sm at (0.000, 0.000, 0.000), Eu at (0.000, 0.000, 0.500), Ag at (0.250, 0.250, 0.750) and Pt at (0.250, 0.250, 0.250).

The density of states at the Fermi level is 2.14 states/eV per atom. As for the size of the total moment: 28.265 μB/cell. For the calculated formation energy, the calculation gives -640 meV per atom.

=====

(3)
First-principles (PBE) data for a relaxed EuAgSnPt crystal, as listed in the Alexandria database.

The structure belongs to space group F-43m (No. 216); the cell edges are 7.027, 7.027 and 7.027 Å and the angles 90.00°, 90.00° and 90.00°. Symmetry generates all atoms from Eu at (0.000, 0.000, 0.000), Ag at (0.250, 0.250, 0.750), Sn at (0.000, 0.000, 0.500) and Pt at (0.250, 0.250, 0.250).

The density of states at the Fermi level is 3.26 states/eV per atom. As for the size of the total moment: 27.460 μB/cell. For the calculated formation energy, the calculation gives -489 meV per atom.

=====

(4)
First-principles (PBE) data for a relaxed EuPuAg2 crystal, as listed in the Alexandria database.

The structure belongs to space group Fm-3m (No. 225); the cell edges are 7.500, 7.500 and 7.500 Å and the angles 90.00°, 90.00° and 90.00°. Symmetry generates all atoms from Eu at (0.000, 0.000, 0.000), Pu at (0.000, 0.000, 0.500) and Ag at (0.250, 0.250, 0.250).

The density of states at the Fermi level is 3.58 states/eV per atom. As for the size of the total moment: 53.586 μB/cell. For the calculated formation energy, the calculation gives -32 meV per atom.

=====

(5)
First-principles (PBE) data for a relaxed EuPuAg4 crystal, as listed in the Alexandria database.

The structure belongs to space group F-43m (No. 216); the cell edges are 8.169, 8.169 and 8.169 Å and the angles 90.00°, 90.00° and 90.00°. Symmetry generates all atoms from Eu at (0.000, 0.000, 0.000), Pu at (0.250, 0.250, 0.250) and Ag at (0.125, 0.125, 0.625).

The density of states at the Fermi level is 2.42 states/eV per atom. As for the size of the total moment: 55.920 μB/cell. For the calculated formation energy, the calculation gives -62 meV per atom.

=====

(6)
First-principles (PBE) data for a relaxed EuPuAg crystal, as listed in the Alexandria database.

The structure belongs to space group I4mm (No. 107); the cell edges are 3.459, 3.459 and 14.358 Å and the angles 90.00°, 90.00° and 90.00°. Symmetry generates all atoms from Eu at (0.000, 0.000, 0.000), Pu at (0.000, 0.000, 0.291) and Ag at (0.000, 0.000, 0.648).

The density of states at the Fermi level is 4.78 states/eV per atom. As for the size of the total moment: 1.827 μB/cell. For the calculated formation energy, the calculation gives 116 meV per atom.

=====

(7)
First-principles (PBE) data for a relaxed EuPuAg2 crystal, as listed in the Alexandria database.

The structure belongs to space group P4/mmm (No. 123); the cell edges are 5.534, 5.534 and 3.355 Å and the angles 90.00°, 90.00° and 90.00°. Symmetry generates all atoms from Eu at (0.000, 0.000, 0.000), Pu at (0.500, 0.500, 0.000) and Ag at (0.000, 0.500, 0.500).

The density of states at the Fermi level is 3.83 states/eV per atom. As for the size of the total moment: 1.163 μB/cell. For the calculated formation energy, the calculation gives -69 meV per atom.

=====

(8)
First-principles (PBE) data for a relaxed Eu2PuAg crystal, as listed in the Alexandria database.

The structure belongs to space group R-3m (No. 166, hexagonal axes); the cell edges are 3.5892, 3.5892 and 33.6010 Å and the angles 90.00°, 90.00° and 120.00°. Symmetry generates all atoms from Eu at (0.0000, 0.0000, 0.2403), Pu at (0.0000, 0.0000, 0.0000) and Ag at (0.0000, 0.0000, 0.5000).

The density of states at the Fermi level is 4.05 states/eV per atom. As for the size of the total moment: 25.125 μB/cell. For the calculated formation energy, the calculation gives 174 meV per atom.

=====

(9)
First-principles (PBE) data for a relaxed Eu2PuAg crystal, as listed in the Alexandria database.

The structure belongs to space group P4/mmm (No. 123); the cell edges are 3.734, 3.734 and 8.924 Å and the angles 90.00°, 90.00° and 90.00°. Symmetry generates all atoms from Eu at (0.000, 0.000, 0.215), Pu at (0.500, 0.500, 0.500) and Ag at (0.500, 0.500, 0.000).

The density of states at the Fermi level is 3.64 states/eV per atom. As for the size of the total moment: 21.504 μB/cell. For the calculated formation energy, the calculation gives 18 meV per atom.

=====

(10)
First-principles (PBE) data for a relaxed EuPuAgRh crystal, as listed in the Alexandria database.

The structure belongs to space group F-43m (No. 216); the cell edges are 7.178, 7.178 and 7.178 Å and the angles 90.00°, 90.00° and 90.00°. Symmetry generates all atoms from Eu at (0.000, 0.000, 0.000), Pu at (0.000, 0.000, 0.500), Ag at (0.250, 0.250, 0.250) and Rh at (0.250, 0.250, 0.750).

The density of states at the Fermi level is 3.81 states/eV per atom. As for the size of the total moment: 49.958 μB/cell. For the calculated formation energy, the calculation gives -181 meV per atom.

=====

(11)
First-principles (PBE) data for a relaxed EuPuAgSb crystal, as listed in the Alexandria database.

The structure belongs to space group F-43m (No. 216); the cell edges are 7.604, 7.604 and 7.604 Å and the angles 90.00°, 90.00° and 90.00°. Symmetry generates all atoms from Eu at (0.000, 0.000, 0.000), Pu at (0.000, 0.000, 0.500), Ag at (0.250, 0.250, 0.750) and Sb at (0.250, 0.250, 0.250).

The density of states at the Fermi level is 3.66 states/eV per atom. As for the size of the total moment: 52.320 μB/cell. The value obtained for the energy is -8.3514 eV/atom.

=====

(12)
First-principles (PBE) data for a relaxed EuPuSiAg crystal, as listed in the Alexandria database.

The structure belongs to space group F-43m (No. 216); the cell edges are 7.317, 7.317 and 7.317 Å and the angles 90.00°, 90.00° and 90.00°. Symmetry generates all atoms from Eu at (0.000, 0.000, 0.000), Pu at (0.000, 0.000, 0.500), Si at (0.250, 0.250, 0.250) and Ag at (0.250, 0.250, 0.750).

The density of states at the Fermi level is 5.16 states/eV per atom. As for the size of the total moment: 5.924 μB/cell. The value obtained for the energy is -8.3926 eV/atom.